Density functional theory data (PBE) for Pm4GeSbTe2 after structural relaxation.

Values from the calculation:
* calculated volume: 247.5 Å³ per cell
* spin magnetization: 0.000 Bohr magnetons per cell
* DOS(E_F): 1.64 states/eV/f.u.
* formation energy without anion corrections: -1297 meV/atom

a b c (Å): 4.419 7.719 7.683
angles (deg): 70.79 90.00 90.00
Positions (direct):
Pm: 0.000 0.733 0.744
Pm: 0.000 0.267 0.256
Pm: 0.500 0.728 0.268
Pm: 0.500 0.272 0.732
Ge: 0.000 0.500 0.500
Sb: 0.500 0.500 0.000
Te: 0.000 0.000 0.000
Te: 0.500 0.000 0.500

=====

Density functional theory data (PBE) for SmLuBeCu after structural relaxation.

Values from the calculation:
* calculated volume: 81.8 Å³ per cell
* spin magnetization: 0.000 Bohr magnetons per cell
* DOS(E_F): 1.83 states/eV/f.u.
* formation enthalpy at 0 K: -50 meV/atom

a b c (Å): 4.873 4.873 4.873
angles (deg): 60.00 60.00 60.00
Positions (direct):
Be: 0.750 0.750 0.750
Lu: 0.000 0.000 0.000
Cu: 0.250 0.250 0.250
Sm: 0.500 0.500 0.500

=====

Density functional theory data (PBE) for Fe8Re3Tc after structural relaxation.

Values from the calculation:
* calculated volume: 142.4 Å³ per cell
* spin magnetization: 8.042 Bohr magnetons per cell
* DOS(E_F): 10.11 states/eV/f.u.
* formation enthalpy at 0 K: 1 meV/atom

a b c (Å): 4.630 4.630 7.672
angles (deg): 90.00 90.00 120.00
Positions (direct):
Fe: 0.333 0.667 0.500
Fe: 0.333 0.667 0.000
Fe: 0.503 0.006 0.750
Fe: 0.503 0.497 0.750
Fe: 0.994 0.497 0.750
Fe: 0.164 0.327 0.250
Fe: 0.164 0.836 0.250
Fe: 0.673 0.836 0.250
Re: 0.667 0.333 0.435
Re: 0.667 0.333 0.064
Re: 0.000 0.000 0.936
Tc: 0.000 0.000 0.564